Entry 1
SiP2Cl: optimized geometry, GGA-PBE.

Cell lengths 3.7345, 4.2912, 6.3738 Å; angles 90.00, 103.35, 90.00 degrees
Space group Pm (No. 6)
Asymmetric unit:
Si: 0.0000 0.0000 0.0000 (multiplicity 1)
P: 0.3924 0.0000 0.7786 (multiplicity 1)
P: 0.7414 0.5000 0.9974 (multiplicity 1)
Cl: 0.6061 0.5000 0.2945 (multiplicity 1)

## Properties
spin magnetization = 0.0 μB per formula unit

Entry 2
SiP2Cl: optimized geometry, GGA-PBE.

Cell lengths 4.7213, 4.7213, 2.9092 Å; angles 90.00, 90.00, 90.00 degrees
Space group P4/mmm (No. 123)
Asymmetric unit:
Si: 0.0000 0.0000 0.0000 (multiplicity 1)
P: 0.0000 0.5000 0.5000 (multiplicity 2)
Cl: 0.5000 0.5000 0.0000 (multiplicity 1)

## Properties
spin magnetization = 0.0 μB per formula unit

The structure with the least stability is entry 2.

Entry 1
SiP2Cl: optimized geometry, GGA-PBE.

Cell lengths 6.3159, 6.3159, 8.9383 Å; angles 90.00, 90.00, 90.00 degrees
Space group I-42d (No. 122)
Asymmetric unit:
Si: 0.0000 0.0000 0.0000 (multiplicity 4)
P: 0.1874 0.2500 0.1250 (multiplicity 8)
Cl: 0.0000 0.0000 0.5000 (multiplicity 4)

## Properties
spin magnetization = 0.0 μB per formula unit

Entry 2
SiP2Cl: optimized geometry, GGA-PBE.

Cell lengths 3.6316, 3.6402, 5.4575 Å; angles 90.00, 94.07, 90.00 degrees
Space group P2/m (No. 10)
Asymmetric unit:
Si: 0.0000 0.0000 0.0000 (multiplicity 1)
P: 0.0000 0.0000 0.5000 (multiplicity 1)
P: 0.5000 0.5000 0.5000 (multiplicity 1)
Cl: 0.5000 0.5000 0.0000 (multiplicity 1)

## Properties
spin magnetization = 0.0 μB per formula unit

The structure with the least stability is entry 2.

Entry 1
SiP2Cl: optimized geometry, GGA-PBE.

Cell lengths 3.5005, 3.5005, 11.9747 Å; angles 90.00, 90.00, 90.00 degrees
Space group I4/mmm (No. 139)
Asymmetric unit:
Si: 0.0000 0.0000 0.0000 (multiplicity 2)
P: 0.0000 0.5000 0.2500 (multiplicity 4)
Cl: 0.0000 0.0000 0.5000 (multiplicity 2)

## Properties
spin magnetization = 0.0 μB per formula unit

Entry 2
SiP2Cl: optimized geometry, GGA-PBE.

Cell lengths 3.5269, 3.5269, 23.5686 Å; angles 90.00, 90.00, 120.00 degrees
Space group R3m (No. 160, hexagonal axes)
Asymmetric unit:
Si: 0.0000 0.0000 0.0000 (multiplicity 3)
P: 0.0000 0.0000 0.2796 (multiplicity 3)
P: 0.0000 0.0000 0.5591 (multiplicity 3)
Cl: 0.0000 0.0000 0.7343 (multiplicity 3)

## Properties
spin magnetization = 0.0 μB per formula unit

Entry 3
SiP2Cl: optimized geometry, GGA-PBE.

Cell lengths 6.3709, 6.3709, 6.3709 Å; angles 90.00, 90.00, 90.00 degrees
Space group F-43m (No. 216)
Asymmetric unit:
Si: 0.0000 0.0000 0.0000 (multiplicity 4)
P: 0.0000 0.0000 0.5000 (multiplicity 4)
P: 0.2500 0.2500 0.7500 (multiplicity 4)
Cl: 0.2500 0.2500 0.2500 (multiplicity 4)

## Properties
spin magnetization = 0.0 μB per formula unit

Entry 4
SiP2Cl: optimized geometry, GGA-PBE.

Cell lengths 6.3038, 6.3038, 6.3038 Å; angles 90.00, 90.00, 90.00 degrees
Space group Fm-3m (No. 225)
Asymmetric unit:
Si: 0.0000 0.0000 0.0000 (multiplicity 4)
P: 0.2500 0.2500 0.2500 (multiplicity 8)
Cl: 0.0000 0.0000 0.5000 (multiplicity 4)

## Properties
spin magnetization = 0.0 μB per formula unit

The structure with the least stability is entry 4.

Entry 1
SiPCl2: optimized geometry, GGA-PBE.

Cell lengths 3.5086, 3.5086, 7.8616 Å; angles 90.00, 90.00, 90.00 degrees
Space group P4mm (No. 99)
Asymmetric unit:
Si: 0.0000 0.0000 0.0000 (multiplicity 1)
P: 0.5000 0.5000 0.0525 (multiplicity 1)
Cl: 0.0000 0.0000 0.7353 (multiplicity 1)
Cl: 0.5000 0.5000 0.3145 (multiplicity 1)

## Properties
spin magnetization = 0.0 μB per formula unit

Entry 2
SiPCl2: optimized geometry, GGA-PBE.

Cell lengths 3.0354, 4.1146, 5.9796 Å; angles 90.00, 90.00, 90.00 degrees
Space group Pmmm (No. 47)
Asymmetric unit:
Si: 0.0000 0.0000 0.0000 (multiplicity 1)
P: 0.0000 0.0000 0.5000 (multiplicity 1)
Cl: 0.5000 0.5000 0.2463 (multiplicity 2)

## Properties
spin magnetization = 0.0 μB per formula unit

The structure with the least stability is entry 2.

Entry 1
SrSiP2Cl: optimized geometry, GGA-PBE.

Cell lengths 4.5230, 4.5230, 5.4654 Å; angles 90.00, 90.00, 90.00 degrees
Space group P4/mmm (No. 123)
Asymmetric unit:
Sr: 0.0000 0.0000 0.0000 (multiplicity 1)
Si: 0.5000 0.5000 0.5000 (multiplicity 1)
P: 0.0000 0.5000 0.5000 (multiplicity 2)
Cl: 0.5000 0.5000 0.0000 (multiplicity 1)

## Properties
spin magnetization = 0.0 μB per formula unit

Entry 2
SrSiP2Cl: optimized geometry, GGA-PBE.

Cell lengths 5.7063, 5.7063, 5.3063 Å; angles 90.00, 90.00, 90.00 degrees
Space group P4/mmm (No. 123)
Asymmetric unit:
Sr: 0.0000 0.0000 0.0000 (multiplicity 1)
Si: 0.5000 0.5000 0.5000 (multiplicity 1)
P: 0.0000 0.5000 0.0000 (multiplicity 2)
Cl: 0.0000 0.0000 0.5000 (multiplicity 1)

## Properties
spin magnetization = 1.9 μB per formula unit

The structure with the least stability is entry 2.

Entry 1
TaSiP2Cl: optimized geometry, GGA-PBE.

Cell lengths 4.5403, 4.5403, 4.3448 Å; angles 90.00, 90.00, 90.00 degrees
Space group P4/mmm (No. 123)
Asymmetric unit:
Ta: 0.0000 0.0000 0.0000 (multiplicity 1)
Si: 0.5000 0.5000 0.5000 (multiplicity 1)
P: 0.0000 0.5000 0.5000 (multiplicity 2)
Cl: 0.5000 0.5000 0.0000 (multiplicity 1)

## Properties
spin magnetization = 1.0 μB per formula unit

Entry 2
TaSiP2Cl: optimized geometry, GGA-PBE.

Cell lengths 4.8836, 4.8836, 4.7133 Å; angles 90.00, 90.00, 90.00 degrees
Space group P4/mmm (No. 123)
Asymmetric unit:
Ta: 0.0000 0.0000 0.0000 (multiplicity 1)
Si: 0.5000 0.5000 0.5000 (multiplicity 1)
P: 0.0000 0.5000 0.0000 (multiplicity 2)
Cl: 0.0000 0.0000 0.5000 (multiplicity 1)

## Properties
spin magnetization = 0.0 μB per formula unit

The structure with the least stability is entry 1.

Entry 1
SiTePCl2: optimized geometry, GGA-PBE.

Cell lengths 5.1216, 5.1216, 5.4393 Å; angles 90.00, 90.00, 90.00 degrees
Space group P4/mmm (No. 123)
Asymmetric unit:
Si: 0.0000 0.0000 0.0000 (multiplicity 1)
Te: 0.5000 0.5000 0.5000 (multiplicity 1)
P: 0.5000 0.5000 0.0000 (multiplicity 1)
Cl: 0.0000 0.5000 0.5000 (multiplicity 2)

## Properties
spin magnetization = 0.2 μB per formula unit

Entry 2
SiTePCl2: optimized geometry, GGA-PBE.

Cell lengths 4.5494, 4.5494, 5.2646 Å; angles 90.00, 90.00, 90.00 degrees
Space group P4/mmm (No. 123)
Asymmetric unit:
Si: 0.0000 0.0000 0.0000 (multiplicity 1)
Te: 0.5000 0.5000 0.5000 (multiplicity 1)
P: 0.0000 0.0000 0.5000 (multiplicity 1)
Cl: 0.0000 0.5000 0.0000 (multiplicity 2)

## Properties
spin magnetization = 0.4 μB per formula unit

The structure with the least stability is entry 1.

Entry 1
TiSiPCl2: optimized geometry, GGA-PBE.

Cell lengths 4.6014, 4.6014, 4.8586 Å; angles 90.00, 90.00, 90.00 degrees
Space group P4/mmm (No. 123)
Asymmetric unit:
Ti: 0.0000 0.0000 0.0000 (multiplicity 1)
Si: 0.5000 0.5000 0.5000 (multiplicity 1)
P: 0.5000 0.5000 0.0000 (multiplicity 1)
Cl: 0.0000 0.5000 0.5000 (multiplicity 2)

## Properties
spin magnetization = 1.7 μB per formula unit

Entry 2
TiSiPCl2: optimized geometry, GGA-PBE.

Cell lengths 4.6232, 4.6232, 5.0844 Å; angles 90.00, 90.00, 90.00 degrees
Space group P4/mmm (No. 123)
Asymmetric unit:
Ti: 0.0000 0.0000 0.0000 (multiplicity 1)
Si: 0.5000 0.5000 0.5000 (multiplicity 1)
P: 0.0000 0.0000 0.5000 (multiplicity 1)
Cl: 0.0000 0.5000 0.0000 (multiplicity 2)

## Properties
spin magnetization = 0.4 μB per formula unit

The structure with the least stability is entry 1.